The following is a DFT calculation (PBE-GGA) of Y3InPb after structural relaxation.

Calculated values
The total magnetization comes out at 0.00 μB/cell. Its volume is 180.5 Å³/cell. The electronic total energy is -5.09 eV/atom. Its formation energy is 0.393 eV/f.u. The value obtained for the distance to the lowest polymorph of the same formula is 80 meV per atom.

Lattice parameters (Å, degrees): 5.651 5.651 5.651 90.00 90.00 90.00
Fractional coordinates of all 5 atoms:
Y 0.000 0.000 0.500
Y 0.000 0.500 0.000
Y 0.500 0.000 0.000
In 0.000 0.000 0.000
Pb 0.500 0.500 0.500